*1*
This record from the Alexandria database describes crystalline Li3Au2 at its relaxed geometry. The functional is PBE-GGA.

a = 4.4319 Å, b = 4.4319 Å, c = 5.3549 Å
α = 90.00°, β = 90.00°, γ = 120.00°
Positions (direct):
Li 0.0000 0.0000 0.0000
Li 0.3333 0.6667 0.3584
Li 0.6667 0.3333 0.6416
Au 0.3333 0.6667 0.8533
Au 0.6667 0.3333 0.1467

Crystal system   trigonal
Symmetry   P-3m1
Spin magnetization   0.00 μB per cell



*2*
This record from the Alexandria database describes crystalline Li3Au2 at its relaxed geometry. The functional is PBE-GGA.

a = 10.7954 Å, b = 10.7954 Å, c = 10.7954 Å
α = 16.17°, β = 16.17°, γ = 16.17°
Positions (direct):
Li 0.0000 0.0000 0.0000
Li 0.2060 0.2060 0.2060
Li 0.7940 0.7940 0.7940
Au 0.3977 0.3977 0.3977
Au 0.6023 0.6023 0.6023

Crystal system   trigonal
Symmetry   R-3m
Spin magnetization   0.00 μB per cell



The most stable of them is *1*.



*1*
This record from the Alexandria database describes crystalline Li3Au4 at its relaxed geometry. The functional is PBE-GGA.

a = 7.0719 Å, b = 7.0719 Å, c = 7.0719 Å
α = 113.50°, β = 113.50°, γ = 113.50°
Positions (direct):
Li 0.0471 0.6312 0.7669
Li 0.2331 0.9529 0.3688
Li 0.3688 0.2331 0.9529
Li 0.6312 0.7669 0.0471
Li 0.7669 0.0471 0.6312
Li 0.9529 0.3688 0.2331
Au 0.0000 0.0000 0.0000
Au 0.1184 0.2698 0.5693
Au 0.2698 0.5693 0.1184
Au 0.4307 0.8816 0.7302
Au 0.5000 0.5000 0.5000
Au 0.5693 0.1184 0.2697
Au 0.7303 0.4307 0.8816
Au 0.8816 0.7303 0.4307

Crystal system   trigonal
Symmetry   R-3
Spin magnetization   0.00 μB per cell



*2*
This record from the Alexandria database describes crystalline Li3Au4 at its relaxed geometry. The functional is PBE-GGA.

a = 4.9691 Å, b = 4.9691 Å, c = 5.2552 Å
α = 90.00°, β = 90.00°, γ = 120.00°
Positions (direct):
Li 0.0000 0.5000 0.0000
Li 0.5000 0.0000 0.0000
Li 0.5000 0.5000 0.0000
Au 0.0000 0.0000 0.2499
Au 0.0000 0.0000 0.7501
Au 0.3333 0.6667 0.5000
Au 0.6667 0.3333 0.5000

Crystal system   hexagonal
Symmetry   P6/mmm
Spin magnetization   0.00 μB per cell



The most stable of them is *1*.